Pm2TiPb after structural relaxation. Source: Alexandria via LeMat-Bulk, functional PBE-GGA.

Unit cell a=3.372 b=3.372 c=11.861 alpha=81.83 beta=81.83 gamma=60.00
Last column: magnetic moment on the atom in μB.
Fractional positions:
Pb  0.500  0.500  0.500  0.00
Ti  0.000  0.000  0.000  1.31
Pm  0.086  0.086  0.742  0.09
Pm  0.914  0.914  0.258  0.09

DFT formation energy, eV/atom: 0.309

=====

Pm4Tl2Pb3 after structural relaxation. Source: Alexandria via LeMat-Bulk, functional PBE-GGA.

Unit cell a=7.403 b=10.251 c=8.614 alpha=90.00 beta=115.45 gamma=90.00
Fractional positions:
Pm  0.712  0.750  0.924
Pm  0.788  0.250  0.076
Pm  0.288  0.250  0.076
Pm  0.212  0.750  0.924
Pm  0.201  0.991  0.401
Pm  0.799  0.009  0.599
Pm  0.299  0.491  0.599
Pm  0.701  0.509  0.401
Tl  0.098  0.581  0.196
Tl  0.902  0.419  0.804
Tl  0.402  0.081  0.804
Tl  0.598  0.919  0.196
Pb  0.000  0.000  0.000
Pb  0.500  0.500  0.000
Pb  0.500  0.750  0.501
Pb  0.000  0.250  0.499
Pb  0.500  0.250  0.499
Pb  0.000  0.750  0.501

DFT formation energy, eV/atom: -0.286

=====

Pm5TlPb2 after structural relaxation. Source: Alexandria via LeMat-Bulk, functional PBE-GGA.

Unit cell a=7.086 b=7.086 c=6.931 alpha=120.74 beta=120.74 gamma=90.00
Fractional positions:
Pm  0.722  0.222  0.944
Pm  0.222  0.222  0.944
Pm  0.722  0.722  0.944
Pm  0.222  0.722  0.944
Pm  0.722  0.722  0.444
Tl  0.222  0.222  0.444
Pb  0.222  0.722  0.444
Pb  0.722  0.222  0.444

DFT formation energy, eV/atom: -0.358

=====

Pm7TlPb4 after structural relaxation. Source: Alexandria via LeMat-Bulk, functional PBE-GGA.

Unit cell a=5.861 b=8.863 c=9.243 alpha=59.56 beta=71.51 gamma=70.69
Fractional positions:
Pm  0.838  0.932  0.393
Pm  0.162  0.068  0.607
Pm  0.067  0.587  0.279
Pm  0.933  0.413  0.721
Pm  0.285  0.599  0.832
Pm  0.500  0.000  0.000
Pm  0.715  0.401  0.168
Tl  0.000  0.000  0.000
Pb  0.563  0.287  0.586
Pb  0.437  0.713  0.414
Pb  0.719  0.764  0.798
Pb  0.281  0.236  0.202

DFT formation energy, eV/atom: -0.329

=====

Pm5Tl4Pb after structural relaxation. Source: Alexandria via LeMat-Bulk, functional PBE-GGA.

Unit cell a=3.730 b=3.730 c=21.038 alpha=90.00 beta=90.00 gamma=90.00
Fractional positions:
Pm  0.500  0.500  0.101
Pm  0.500  0.500  0.301
Pm  0.500  0.500  0.500
Pm  0.500  0.500  0.699
Pm  0.500  0.500  0.899
Tl  0.000  0.000  0.203
Tl  0.000  0.000  0.401
Tl  0.000  0.000  0.599
Tl  0.000  0.000  0.797
Pb  0.000  0.000  0.000

DFT formation energy, eV/atom: -0.410

=====

Pm2Tl5Pb after structural relaxation. Source: Alexandria via LeMat-Bulk, functional PBE-GGA.

Unit cell a=4.733 b=6.957 c=13.731 alpha=90.00 beta=90.00 gamma=90.00
Fractional positions:
Pm  0.500  0.241  0.624
Pm  0.500  0.759  0.376
Pm  0.500  0.259  0.124
Pm  0.500  0.741  0.876
Tl  0.000  0.000  0.000
Tl  0.000  0.500  0.500
Tl  0.000  0.489  0.750
Tl  0.000  0.511  0.250
Tl  0.000  0.011  0.250
Tl  0.000  0.989  0.750
Tl  0.500  0.240  0.872
Tl  0.500  0.760  0.128
Tl  0.500  0.260  0.372
Tl  0.500  0.740  0.628
Pb  0.000  0.000  0.500
Pb  0.000  0.500  0.000

DFT formation energy, eV/atom: -0.312